## Pa8SiGe2 (PBE-GGA)

Data for an optimized crystal structure of Pa8SiGe2.

a b c (Å): 4.619 7.073 8.329
angles (deg): 108.75 106.10 90.00
Atoms (fractional coordinates):
Pa: 0.400 0.533 0.800
Pa: 0.678 0.901 0.356
Pa: 0.862 0.801 0.724
Pa: 0.955 0.253 0.910
Pa: 0.138 0.199 0.276
Pa: 0.322 0.099 0.644
Pa: 0.600 0.467 0.200
Pa: 0.045 0.747 0.090
Si: 0.500 0.000 0.000
Ge: 0.775 0.339 0.550
Ge: 0.225 0.661 0.450

Results
The calculation puts the formation energy without anion corrections at -0.235 eV per atom. The value obtained for the density of states at the Fermi level is 1.87 states/eV/atom.

## Pa6Si2Ge (PBE-GGA)

Data for an optimized crystal structure of Pa6Si2Ge.

a b c (Å): 8.081 8.081 8.081
angles (deg): 105.46 108.70 114.39
Atoms (fractional coordinates):
Pa: 0.520 0.727 0.793
Pa: 0.480 0.273 0.207
Pa: 0.066 0.273 0.793
Pa: 0.934 0.727 0.207
Pa: 0.781 0.750 0.531
Pa: 0.219 0.250 0.469
Pa: 0.219 0.750 0.969
Pa: 0.781 0.250 0.031
Pa: 0.742 0.442 0.699
Pa: 0.258 0.558 0.301
Pa: 0.258 0.957 0.699
Pa: 0.742 0.043 0.301
Si: 0.500 0.382 0.882
Si: 0.500 0.618 0.118
Si: 0.622 0.000 0.622
Si: 0.378 0.000 0.378
Ge: 0.000 0.500 0.500
Ge: 0.000 0.000 0.000

Results
The calculation puts the formation energy without anion corrections at -0.277 eV per atom. The value obtained for the density of states at the Fermi level is 1.96 states/eV/atom.

## PaSiGe2 (PBE-GGA)

Data for an optimized crystal structure of PaSiGe2.

a b c (Å): 4.256 4.204 4.204
angles (deg): 90.00 90.00 90.00
Atoms (fractional coordinates):
Ge: 0.000 0.000 0.500
Ge: 0.000 0.500 0.000
Pa: 0.500 0.500 0.500
Si: 0.500 0.000 0.000

Results
The energy above the most stable polymorph in this dataset is 0 meV/atom. The calculation puts the formation energy without anion corrections at -0.428 eV per atom. The value obtained for the density of states at the Fermi level is 0.88 states/eV/atom.

## Pa4SiGe3 (PBE-GGA)

Data for an optimized crystal structure of Pa4SiGe3.

a b c (Å): 7.142 7.146 8.228
angles (deg): 90.00 90.00 109.36
Atoms (fractional coordinates):
Si: 0.750 0.000 0.875
Si: 0.250 0.000 0.125
Pa: 0.998 0.248 0.628
Pa: 0.500 0.246 0.877
Pa: 0.498 0.248 0.372
Pa: 0.000 0.246 0.123
Pa: 0.000 0.754 0.877
Pa: 0.502 0.752 0.628
Pa: 0.500 0.754 0.123
Pa: 0.002 0.752 0.372
Ge: 0.750 0.000 0.375
Ge: 0.250 0.000 0.625
Ge: 0.750 0.500 0.624
Ge: 0.750 0.500 0.125
Ge: 0.250 0.500 0.376
Ge: 0.250 0.500 0.875

Results
The energy above the most stable polymorph in this dataset is 4 meV/atom. The calculation puts the formation energy without anion corrections at -0.419 eV per atom. The value obtained for the density of states at the Fermi level is 1.33 states/eV/atom.

## Pa2SiGe2 (PBE-GGA)

Data for an optimized crystal structure of Pa2SiGe2.

a b c (Å): 3.979 3.927 6.960
angles (deg): 106.39 90.00 90.00
Each line ends with the local moment (μB).
Atoms (fractional coordinates):
Pa: 0.000 0.686 0.373  0.44
Pa: 0.000 0.931 0.862  0.50
Si: 0.500 0.115 0.230  0.00
Ge: 0.500 0.305 0.610  -0.01
Ge: 0.500 0.505 0.010  0.00

Results
The calculation puts the formation energy without anion corrections at -0.382 eV per atom. The value obtained for the density of states at the Fermi level is 1.49 states/eV/atom.

## Pa4SiGe (PBE-GGA)

Data for an optimized crystal structure of Pa4SiGe.

a b c (Å): 5.819 6.888 6.888
angles (deg): 90.00 90.00 90.00
Atoms (fractional coordinates):
Pa: 0.000 0.153 0.647
Pa: 0.000 0.847 0.353
Pa: 0.000 0.353 0.153
Pa: 0.000 0.647 0.847
Pa: 0.500 0.847 0.647
Pa: 0.500 0.153 0.353
Pa: 0.500 0.647 0.153
Pa: 0.500 0.353 0.847
Si: 0.250 0.500 0.500
Si: 0.750 0.500 0.500
Ge: 0.250 0.000 0.000
Ge: 0.750 0.000 0.000

Results
The calculation puts the formation energy without anion corrections at -0.352 eV per atom. The value obtained for the density of states at the Fermi level is 1.80 states/eV/atom.

## Pa4SiGe2 (PBE-GGA)

Data for an optimized crystal structure of Pa4SiGe2.

a b c (Å): 4.891 4.891 8.486
angles (deg): 73.25 73.25 60.00
Atoms (fractional coordinates):
Pa: 0.879 0.879 0.364
Pa: 0.121 0.121 0.636
Pa: 0.628 0.628 0.117
Pa: 0.372 0.372 0.883
Si: 0.000 0.000 0.000
Ge: 0.756 0.756 0.733
Ge: 0.244 0.244 0.267

Results
The calculation puts the formation energy without anion corrections at -0.151 eV per atom. The value obtained for the density of states at the Fermi level is 1.95 states/eV/atom.

## Pa3Si2Ge3 (PBE-GGA)

Data for an optimized crystal structure of Pa3Si2Ge3.

a b c (Å): 5.480 8.399 8.399
angles (deg): 120.00 90.00 90.00
Atoms (fractional coordinates):
Pa: 0.750 0.601 0.000
Pa: 0.750 0.399 0.399
Pa: 0.750 0.000 0.601
Pa: 0.250 0.399 0.000
Pa: 0.250 0.601 0.601
Pa: 0.250 0.000 0.399
Si: 0.000 0.333 0.667
Si: 0.500 0.667 0.333
Si: 0.000 0.667 0.333
Si: 0.500 0.333 0.667
Ge: 0.750 0.213 0.000
Ge: 0.750 0.787 0.787
Ge: 0.750 0.000 0.213
Ge: 0.250 0.787 0.000
Ge: 0.250 0.213 0.213
Ge: 0.250 0.000 0.787

Results
The calculation puts the formation energy without anion corrections at -0.339 eV per atom. The value obtained for the density of states at the Fermi level is 1.19 states/eV/atom.